This record from Alexandria describes a geometry-optimized Li2Zn5Ag structure. The functional is PBE-GGA.

Calculated values
Total energy, hartree per atom: -0.0651
Offset from the most stable computed form, meV/atom: 0

Unit cell a=5.372 b=5.372 c=8.322 alpha=90.00 beta=90.00 gamma=90.00
Space group I4/mmm (No. 139)
Unique sites:
Li 0.000 0.500 0.000 x4
Zn 0.000 0.000 0.000 x2
Zn 0.250 0.250 0.250 x8
Ag 0.000 0.000 0.500 x2